Compound: CoGe2HO6
Source: Alexandria via LeMat-Bulk
Functional: PBE+U
Structure: optimized geometry

abc: 9.420 8.915 5.648
angles: 90.00 104.59 90.00
Space group C2/c (No. 15)
Unique sites:
Co: 0.000 0.104 0.250 x4
Ge: 0.203 0.408 0.226 x8
H: 0.000 0.129 0.750 x4
O: 0.098 0.082 0.661 x8
O: 0.137 0.482 0.465 x8
O: 0.144 0.221 0.176 x8

## Properties
**Crystal system**: monoclinic
**V**: 459 Å³/cell
**Energy**: -0.438 Ry per atom